# ErNi2SnO6

Crystalline ErNi2SnO6 at its relaxed geometry (PBE+U, Alexandria).

Results
Its final energy is -6.113 eV/atom. The total magnetization is 3.00 μB/f.u. As for the crystal system: triclinic.

Cell: 5.307 5.309 5.637 Å, 61.93 90.00 60.08°
Atoms (fractional coordinates):
Er (0.000, 0.000, 0.000)
Ni (0.285, 0.430, 0.856)
Ni (0.790, 0.421, 0.369)
Sn (0.490, 0.020, 0.470)
O (0.075, 0.495, 0.159)
O (0.181, 0.923, 0.647)
O (0.429, 0.917, 0.158)
O (0.570, 0.250, 0.646)
O (0.654, 0.271, 0.159)
O (0.895, 0.535, 0.645)